VASP calculation (PBE+U) on a relaxed structure of TlFe2C2O7.

abc: 9.8318 9.8318 9.8318
angles: 30.08 30.08 30.08
Closest atoms and distances in Å follow each position.
Element x y z (fractional)
Tl  0.0000  0.0000  0.0000  6 O 2.89
Fe  0.4354  0.4354  0.4354  4 O 1.82-2.01
Fe  0.5646  0.5646  0.5646  4 O 1.82-2.01
C  0.2600  0.2600  0.2600  3 O 1.30
C  0.7400  0.7400  0.7400  3 O 1.30
O  0.0081  0.5030  0.7062  1 C 1.30
O  0.2938  0.4970  0.9919  1 C 1.30
O  0.4970  0.9919  0.2938  1 C 1.30
O  0.5000  0.5000  0.5000  2 Fe 1.82
O  0.5030  0.7062  0.0081  1 C 1.30
O  0.7062  0.0081  0.5030  1 C 1.30
O  0.9919  0.2938  0.4970  1 C 1.30

Summary:
D(E_F) in states/eV/atom: 0.604
Magnetic moment in μB/cell: 9.0
Electronic total energy in eV per atom: -6.787